{
  "formula": "La2MoO6",
  "functional": "GGA+U",
  "state": "relaxed",
  "lattice_angstrom": [[3.050, -3.050, 0.000], [3.050, 3.050, 0.000], [-3.039, 0.000, 8.160]],
  "species": ["La", "La", "Mo", "O", "O", "O", "O", "O", "O"],
  "frac_coords": [[0.000, 0.000, 0.000], [0.639, 0.639, 0.279], [0.319, 0.319, 0.639], [0.019, 0.019, 0.505], [0.070, 0.569, 0.139], [0.152, 0.618, 0.774], [0.485, 0.485, 0.505], [0.569, 0.070, 0.139], [0.618, 0.152, 0.774]],
  "dos_ef_per_ev_cell": 0.00,
  "energy_ev_per_atom": -7.90,
  "crystal_system": "monoclinic",
  "m_tot_mub_per_cell": 0.000
}